Entry 1:
TaHg2Se after structural relaxation, computed with PBEsol.

Geometry as POSCAR:
```
TaHg2Se
1.0
-0.649 -2.918 -2.549
3.870 -0.361 -0.572
0.246 -3.366 3.790
Se Ta Hg
1 1 2
Cartesian
1.733 -3.322 0.334
0.123 -1.683 1.895
1.935 -0.181 -0.286
-0.324 -1.459 -1.275
```

Properties
**E_form (uncorrected)**: 0.440 eV per atom

---

Entry 2:
TaHgSe2 after structural relaxation, computed with PBEsol.

Geometry as POSCAR:
```
TaHgSe2
1.0
-5.583 -3.880 2.249
5.853 0.515 4.015
-4.288 5.670 -0.863
Se Hg Ta
4 2 2
Cartesian
-6.608 2.089 1.989
-0.071 -0.755 4.222
-2.805 0.406 1.752
1.446 2.870 2.841
-1.686 3.540 1.923
0.000 0.000 0.000
-2.333 -1.235 3.479
-4.936 0.895 0.693
```

Properties
**E_form (uncorrected)**: 0.006 eV per atom

---

Entry 3:
TaHg2Se after structural relaxation, computed with PBEsol.

Geometry as POSCAR:
```
TaHg2Se
1.0
-2.016 2.344 1.145
-3.338 -2.084 -3.029
-1.505 -3.171 3.840
Hg Se Ta
2 1 1
Cartesian
-2.406 1.378 0.195
-2.948 -1.118 -2.078
-3.429 -1.455 0.978
-1.760 -0.413 2.493
```

Properties
**E_form (uncorrected)**: 0.335 eV per atom

---

Entry 4:
TaHgSe2 after structural relaxation, computed with PBEsol.

Geometry as POSCAR:
```
TaHgSe2
1.0
3.313 0.000 0.000
0.000 4.750 0.000
0.000 0.000 4.750
Ta Se Hg
1 2 1
Cartesian
1.656 2.375 2.375
0.000 0.000 2.375
0.000 2.375 0.000
1.656 0.000 0.000
```

Properties
**E_form (uncorrected)**: 0.264 eV per atom

---

Entry 5:
TcHgSe3 after structural relaxation, computed with PBEsol.

Geometry as POSCAR:
```
TcHgSe3
1.0
5.108 0.000 0.000
0.000 5.108 0.000
0.000 0.000 5.108
Hg Se Tc
1 3 1
Cartesian
0.000 0.000 0.000
0.000 2.554 0.000
2.554 0.000 0.000
0.000 0.000 2.554
2.554 2.554 2.554
```

Properties
**E_form (uncorrected)**: 1.380 eV per atom

---

Entry 6:
TcHgSe2 after structural relaxation, computed with PBEsol.

Geometry as POSCAR:
```
TcHgSe2
1.0
-2.275 -0.097 2.341
0.021 -4.676 -0.174
3.357 -0.107 3.258
Tc Se Hg
1 2 1
Cartesian
0.551 -2.440 2.712
1.678 -0.053 1.629
0.010 -2.338 -0.087
-1.137 -0.049 1.170
```

Properties
**E_form (uncorrected)**: 0.586 eV per atom

---

Entry 7:
TcHgSe2 after structural relaxation, computed with PBEsol.

Geometry as POSCAR:
```
TcHgSe2
1.0
3.157 0.000 0.000
0.000 5.936 0.181
-1.579 -0.212 9.263
Se Tc Hg
4 2 2
Cartesian
1.579 2.502 3.353
0.000 3.222 6.091
1.579 0.268 6.444
0.000 5.456 2.999
0.000 1.057 4.693
1.579 4.666 4.751
1.579 1.479 0.296
0.000 4.244 9.148
```

Properties
**E_form (uncorrected)**: -0.316 eV per atom

---

Entry 8:
TcHg2Se after structural relaxation, computed with PBEsol.

Geometry as POSCAR:
```
TcHg2Se
1.0
4.744 0.000 0.000
2.372 4.108 0.000
2.372 1.369 3.873
Hg Tc Se
2 1 1
Cartesian
2.372 1.369 0.968
0.000 0.000 0.000
7.115 4.108 2.905
4.744 2.739 1.937
```

Properties
**E_form (uncorrected)**: 0.670 eV per atom

---

Entry 9:
TcHg2Se after structural relaxation, computed with PBEsol.

Geometry as POSCAR:
```
TcHg2Se
1.0
-1.524 -2.764 0.847
1.609 -2.042 -3.771
4.020 -1.451 2.500
Se Hg Tc
1 2 1
Cartesian
1.248 -2.107 1.674
0.042 -2.403 -1.462
0.000 0.000 0.000
2.814 -1.747 -0.636
```

Properties
**E_form (uncorrected)**: 0.601 eV per atom

---

Entry 10:
TcHgSe2 after structural relaxation, computed with PBEsol.

Geometry as POSCAR:
```
TcHgSe2
1.0
-0.162 3.449 3.205
-3.424 3.231 -0.187
-3.396 0.024 3.265
Hg Se Tc
1 2 1
Cartesian
-3.491 3.352 3.142
-5.236 5.028 4.713
0.000 0.000 0.000
-1.745 1.676 1.571
```

Properties
**E_form (uncorrected)**: 0.789 eV per atom

---

Entry 11:
TcHgSe2 after structural relaxation, computed with PBEsol.

Geometry as POSCAR:
```
TcHgSe2
1.0
3.031 0.000 0.000
0.000 3.054 0.000
-1.515 -1.527 9.168
Se Tc Hg
2 1 1
Cartesian
1.515 1.527 8.800
0.000 1.527 2.877
1.515 1.527 0.967
1.515 0.000 5.694
```

Properties
**E_form (uncorrected)**: -0.134 eV per atom

---

Entry 12:
TcHgSe2 after structural relaxation, computed with PBEsol.

Geometry as POSCAR:
```
TcHgSe2
1.0
-2.458 0.235 2.164
2.996 -1.026 3.499
0.218 4.706 -0.279
Tc Se Hg
1 2 1
Cartesian
-1.229 0.118 1.082
0.109 2.353 -0.140
1.498 -0.513 1.750
0.378 1.958 2.692
```

Properties
**E_form (uncorrected)**: 0.552 eV per atom

---

Entry 13:
Tc2HgSe2 after structural relaxation, computed with PBEsol.

Geometry as POSCAR:
```
Tc2HgSe2
1.0
-1.280 3.868 2.605
-2.544 -0.765 -4.602
-4.534 -1.664 0.243
Tc Hg Se
2 1 2
Cartesian
-5.209 -0.192 -2.275
-3.149 1.630 0.520
0.000 0.000 0.000
-2.726 0.168 -1.589
-5.633 1.270 -0.165
```

Properties
**E_form (uncorrected)**: 0.255 eV per atom

---

Entry 14:
TcHg2Se after structural relaxation, computed with PBEsol.

Geometry as POSCAR:
```
TcHg2Se
1.0
-2.429 1.738 -0.843
-2.749 -3.046 1.643
1.507 4.422 4.773
Se Hg Tc
1 2 1
Cartesian
-1.295 0.211 4.167
0.029 0.624 1.205
-1.098 3.415 4.492
-2.548 0.240 2.126
```

Properties
**E_form (uncorrected)**: 0.196 eV per atom

---

Entry 15:
TcHgSe2 after structural relaxation, computed with PBEsol.

Geometry as POSCAR:
```
TcHgSe2
1.0
-3.171 1.849 0.587
-1.183 -0.951 -3.393
-0.372 -5.555 3.722
Tc Hg Se
1 1 2
Cartesian
-2.177 0.449 -1.403
-1.866 -3.028 -0.537
0.000 0.000 0.000
-2.860 -1.628 1.453
```

Properties
**E_form (uncorrected)**: 0.651 eV per atom

---

Entry 16:
TcHgSe2 after structural relaxation, computed with PBEsol.

Geometry as POSCAR:
```
TcHgSe2
1.0
2.859 0.000 0.000
1.429 2.476 0.000
1.429 0.825 11.311
Hg Tc Se
1 1 2
Cartesian
2.859 1.651 5.656
0.000 0.000 0.000
1.429 0.825 8.892
4.288 2.476 2.419
```

Properties
**E_form (uncorrected)**: 0.346 eV per atom

---

Entry 17:
HgTeSe2 after structural relaxation, computed with PBEsol.

Geometry as POSCAR:
```
HgTeSe2
1.0
-3.775 -0.264 1.751
-0.924 -3.223 -2.480
2.049 -3.572 3.878
Se Hg Te
2 1 1
Cartesian
-2.350 -1.743 -0.364
1.024 -1.786 1.939
-1.326 -3.529 1.575
0.000 0.000 0.000
```

Properties
**Relative energy among the computed polymorphs**: 37 meV per atom
**E_form (uncorrected)**: -0.058 eV per atom

---

Entry 18:
HgTeSe2 after structural relaxation, computed with PBEsol.

Geometry as POSCAR:
```
HgTeSe2
1.0
5.470 0.000 0.000
0.000 5.470 0.000
-2.735 -2.735 7.938
Se Te Hg
4 2 2
Cartesian
-1.367 -1.348 5.954
4.083 1.367 1.985
1.367 1.348 5.954
1.387 4.102 1.985
2.735 2.735 0.000
2.735 0.000 3.969
0.000 0.000 0.000
0.000 2.735 3.969
```

Properties
**Relative energy among the computed polymorphs**: 242 meV per atom
**E_form (uncorrected)**: 0.148 eV per atom

---

Entry 19:
Hg2TeSe after structural relaxation, computed with PBEsol.

Geometry as POSCAR:
```
Hg2TeSe
1.0
-1.602 -3.660 -2.011
2.105 -1.697 -3.563
4.224 -5.974 2.533
Se Te Hg
1 1 2
Cartesian
2.031 -6.935 -3.920
3.873 -7.225 0.114
0.560 -5.416 -5.512
2.310 -5.611 -1.578
```

Properties
**Relative energy among the computed polymorphs**: 9 meV per atom
**E_form (uncorrected)**: -0.155 eV per atom

---

Entry 20:
HgTeSe2 after structural relaxation, computed with PBEsol.

Geometry as POSCAR:
```
HgTeSe2
1.0
3.540 0.000 0.000
0.000 3.540 0.000
0.000 0.000 7.125
Te Se Hg
1 2 1
Cartesian
1.770 1.770 0.000
0.000 0.000 5.413
0.000 0.000 1.712
1.770 1.770 3.562
```

Properties
**Relative energy among the computed polymorphs**: 320 meV per atom
**E_form (uncorrected)**: 0.226 eV per atom